(1)
{
  "formula": "TbPr2NdHg2",
  "functional": "PBE-GGA",
  "state": "optimized geometry",
  "magnetic_moment_mub_per_fu": 0.0,
  "energy_ev_per_fu": -21.53,
  "density_g_cm3": 8.9,
  "dos_ef_per_ev_fu": 4.1,
  "cell": [[5.224, 0.000, 0.000], [0.000, 9.597, 0.000], [0.000, 0.000, 7.311]],
  "species": ["Tb", "Tb", "Pr", "Pr", "Pr", "Pr", "Nd", "Nd", "Hg", "Hg", "Hg", "Hg"],
  "frac_coords": [[0.000, 0.175, 0.000], [0.000, 0.825, 0.500], [0.000, 0.442, 0.347], [0.000, 0.558, 0.847], [0.500, 0.327, 0.664], [0.500, 0.673, 0.164], [0.500, 0.057, 0.318], [0.500, 0.943, 0.818], [0.000, 0.139, 0.576], [0.000, 0.861, 0.076], [0.500, 0.345, 0.094], [0.500, 0.655, 0.594]]
}


(2)
{
  "formula": "PrNdHgTe",
  "functional": "PBE-GGA",
  "state": "optimized geometry",
  "magnetic_moment_mub_per_fu": 0.0,
  "energy_ev_per_fu": -16.69,
  "density_g_cm3": 7.9,
  "formation_energy_uncorrected_ev_per_atom": -0.9239,
  "de_polymorph_ev_per_atom": 0.000,
  "dos_ef_per_ev_fu": 2.3,
  "cell": [[2.176, 1.257, 7.851], [-2.176, 1.257, 7.851], [0.000, -2.513, 7.851]],
  "species": ["Pr", "Nd", "Hg", "Te"],
  "frac_coords": [[0.000, 0.000, 0.000], [0.503, 0.503, 0.503], [0.752, 0.752, 0.752], [0.250, 0.250, 0.250]]
}